Entry 1:
This record from Alexandria via LeMat-Bulk describes a geometry-optimized Rb14Ho2O9 structure. The functional is PBE.

The space group is P-3 (No. 147) and the conventional cell measures 8.2941, 8.2941 and 11.6620 Å, with angles of 90.00, 90.00 and 120.00 degrees. Symmetry generates all atoms from Rb at (0.0000, 0.0000, 0.2492), Rb at (0.0168, 0.6638, 0.4042), Rb at (0.0959, 0.3904, 0.0927), Ho at (0.3333, 0.6667, 0.7849), O at (0.0000, 0.0000, 0.5000), O at (0.1200, 0.3915, 0.8446) and O at (0.3333, 0.6667, 0.6007).

The calculation puts the raw formation energy at -1.36 eV per atom. Its total magnetization is 1.4 μB per formula unit. As for the density of states at the Fermi level: 4.5 states/eV/cell. The raw total energy comes out at -101.26 eV per cell.

---

Entry 2:
This record from Alexandria via LeMat-Bulk describes a geometry-optimized SrMoW2 structure. The functional is PBE.

The space group is Fm-3m (No. 225) and the conventional cell measures 6.6799, 6.6799 and 6.6799 Å, with angles of 90.00, 90.00 and 90.00 degrees. Symmetry generates all atoms from Sr at (0.0000, 0.0000, 0.0000), Mo at (0.0000, 0.0000, 0.5000) and W at (0.2500, 0.2500, 0.2500).

Its total magnetization is 0.0 μB per formula unit. As for the density of states at the Fermi level: 20.8 states/eV/cell. The calculation puts the energy of formation from the pure elements at 1.266 eV/atom. The raw total energy comes out at -133.42 eV per cell. The value obtained for the relative energy among the computed polymorphs is 2.11 eV/f.u.

---

Entry 3:
This record from Alexandria via LeMat-Bulk describes a geometry-optimized AsAuSe3 structure. The functional is PBE.

The space group is P2_1 (No. 4) and the conventional cell measures 5.1196, 8.1691 and 7.8197 Å, with angles of 90.00, 98.10 and 90.00 degrees. Symmetry generates all atoms from As at (0.1487, 0.0000, 0.3277), Au at (0.4239, 0.8245, 0.7337), Se at (0.0475, 0.2679, 0.1972), Se at (0.3491, 0.1003, 0.6057) and Se at (0.4948, 0.5386, 0.8486).

The calculation puts the raw formation energy at 0.04 eV per atom. Its total magnetization is 0.0 μB per formula unit. As for the density of states at the Fermi level: 5.6 states/eV/cell. The raw total energy comes out at -36.38 eV per cell. The value obtained for the relative energy among the computed polymorphs is 0.00 eV/f.u.